Record 1
## NdDy2SnC (PBE)

Data for a relaxed structure of NdDy2SnC.

Output
ΔE_f   -0.566 eV per atom

Cell lengths 4.907, 4.907, 5.096 Å; angles 90.00, 90.00, 90.00 degrees
Space group P4/mmm (No. 123)
Inequivalent atoms, fractional coordinates:
Nd: 0.000 0.000 0.000 [1 per cell]
Dy: 0.000 0.500 0.500 [2 per cell]
Sn: 0.500 0.500 0.000 [1 per cell]
C: 0.000 0.000 0.500 [1 per cell]

Record 2
## TbMgCuSn (PBE)

Data for a relaxed structure of TbMgCuSn.

Output
ΔE_f   -0.311 eV per atom

Cell lengths 7.050, 7.050, 7.050 Å; angles 90.00, 90.00, 90.00 degrees
Space group F-43m (No. 216)
Inequivalent atoms, fractional coordinates:
Tb: 0.000 0.000 0.000 [4 per cell]
Mg: 0.000 0.000 0.500 [4 per cell]
Cu: 0.250 0.250 0.750 [4 per cell]
Sn: 0.250 0.250 0.250 [4 per cell]